# 1
## CsHoPbBr6 (PBE)

Data for crystalline CsHoPbBr6 at its relaxed geometry.

It has space group P312 (No. 149), with a = 7.6924 Å, b = 7.6924 Å, c = 7.9095 Å, α = 90.00°, β = 90.00° and γ = 120.00°. Symmetry generates all atoms from Cs at (0.0000, 0.0000, 0.0000), Ho at (0.6667, 0.3333, 0.5000), Pb at (0.3333, 0.6667, 0.5000) and Br at (0.3868, 0.0243, 0.7087).

The calculation puts the raw total energy at -3.709 eV/atom. The uncorrected formation energy is -1578 meV per atom. For the density, the calculation gives 4.03 g/cm³.

---

# 2
## Cs2HoSnBr6 (PBE)

Data for crystalline Cs2HoSnBr6 at its relaxed geometry.

It has space group Pmmn (No. 59, origin choice 2), with a = 7.882 Å, b = 11.457 Å, c = 9.406 Å, α = 90.00°, β = 90.00° and γ = 90.00°. Symmetry generates all atoms from Cs at (0.250, 0.007, 0.208), Ho at (0.250, 0.750, 0.771), Sn at (0.250, 0.250, 0.722), Br at (0.004, 0.750, 0.987), Br at (0.006, 0.250, 0.430) and Br at (0.250, 0.505, 0.783).

The calculation puts the raw total energy at -3.494 eV/atom. The uncorrected formation energy is -1462 meV per atom. For the density, the calculation gives 4.02 g/cm³.

---

# 3
## CsHoSn2Br8 (PBE)

Data for crystalline CsHoSn2Br8 at its relaxed geometry.

It has space group P-1 (No. 2), with a = 6.868 Å, b = 7.357 Å, c = 9.869 Å, α = 83.20°, β = 85.86° and γ = 86.17°. Symmetry generates all atoms from Cs at (0.000, 0.000, 0.000), Ho at (0.000, 0.000, 0.500), Sn at (0.474, 0.478, 0.255), Br at (0.222, 0.318, 0.468), Br at (0.242, 0.842, 0.302), Br at (0.252, 0.855, 0.703) and Br at (0.263, 0.394, 0.054).

The calculation puts the raw total energy at -3.512 eV/atom. The uncorrected formation energy is -1277 meV per atom. For the density, the calculation gives 3.96 g/cm³.

---

# 4
## Cs2SrHoBr6 (PBE)

Data for crystalline Cs2SrHoBr6 at its relaxed geometry.

It has space group Pmmn (No. 59, origin choice 2), with a = 8.267 Å, b = 11.701 Å, c = 8.274 Å, α = 90.00°, β = 90.00° and γ = 90.00°. Symmetry generates all atoms from Cs at (0.250, 0.000, 0.249), Sr at (0.250, 0.250, 0.749), Ho at (0.250, 0.750, 0.751), Br at (0.008, 0.750, 0.509), Br at (0.008, 0.750, 0.992) and Br at (0.250, 0.508, 0.750).

The calculation puts the raw total energy at -3.576 eV/atom. The uncorrected formation energy is -1775 meV per atom. For the density, the calculation gives 4.14 g/cm³.

---

# 5
## Cs2HoTl2Br6 (PBE)

Data for crystalline Cs2HoTl2Br6 at its relaxed geometry.

It has space group C2/m (No. 12), with a = 8.370 Å, b = 15.157 Å, c = 9.061 Å, α = 90.00°, β = 106.22° and γ = 90.00°. Symmetry generates all atoms from Cs at (0.000, 0.166, 0.000), Ho at (0.000, 0.500, 0.000), Tl at (0.000, 0.251, 0.500), Br at (0.073, 0.368, 0.808) and Br at (0.174, 0.000, 0.812).

The calculation puts the raw total energy at -3.306 eV/atom. The uncorrected formation energy is -1392 meV per atom. For the density, the calculation gives 3.97 g/cm³.

---

# 6
## Cs2HoTlBr6 (PBE)

Data for crystalline Cs2HoTlBr6 at its relaxed geometry.

It has space group P2_1/c (No. 14), with a = 8.250 Å, b = 8.603 Å, c = 14.446 Å, α = 90.00°, β = 124.70° and γ = 90.00°. Symmetry generates all atoms from Cs at (0.231, 0.063, 0.251), Ho at (0.500, 0.000, 0.000), Tl at (0.000, 0.000, 0.500), Br at (0.184, 0.181, 0.960), Br at (0.280, 0.728, 0.958) and Br at (0.352, 0.018, 0.771).

The calculation puts the raw total energy at -3.559 eV/atom. The uncorrected formation energy is -1690 meV per atom. For the density, the calculation gives 4.39 g/cm³.

---

# 7
## CsHoVBr6 (PBE)

Data for crystalline CsHoVBr6 at its relaxed geometry.

It has space group P312 (No. 149), with a = 7.0445 Å, b = 7.0445 Å, c = 8.3181 Å, α = 90.00°, β = 90.00° and γ = 120.00°. Symmetry generates all atoms from Cs at (0.0000, 0.0000, 0.0000), Ho at (0.6667, 0.3333, 0.5000), V at (0.3333, 0.6667, 0.5000) and Br at (0.0154, 0.3758, 0.6884).

The calculation puts the raw total energy at -4.249 eV/atom. The uncorrected formation energy is -1518 meV per atom. For the density, the calculation gives 3.85 g/cm³.

---

# 8
## Cs6I8Br (PBE)

Data for crystalline Cs6I8Br at its relaxed geometry.

It has space group P-1 (No. 2), with a = 9.445 Å, b = 10.123 Å, c = 10.707 Å, α = 100.29°, β = 109.21° and γ = 109.99°. Symmetry generates all atoms from Cs at (0.061, 0.472, 0.259), Cs at (0.366, 0.155, 0.566), Cs at (0.376, 0.257, 0.115), I at (0.062, 0.958, 0.736), I at (0.127, 0.870, 0.169), I at (0.254, 0.774, 0.620), I at (0.330, 0.614, 0.062) and Br at (0.500, 0.500, 0.500).

The calculation puts the raw total energy at -2.489 eV/atom. The uncorrected formation energy is -1209 meV per atom. For the density, the calculation gives 3.66 g/cm³.

---

# 9
## CsI2Br (PBE)

Data for crystalline CsI2Br at its relaxed geometry.

It has space group P4/mmm (No. 123), with a = 5.153 Å, b = 5.153 Å, c = 9.150 Å, α = 90.00°, β = 90.00° and γ = 90.00°. Symmetry generates all atoms from Cs at (0.000, 0.000, 0.000), I at (0.500, 0.500, 0.348) and Br at (0.500, 0.500, 0.000).

For the polymorph energy (0 for the lowest one), the calculation gives 0.129 eV/f.u. The calculation puts the raw total energy at -2.284 eV/atom. The uncorrected formation energy is -878 meV per atom. For the density, the calculation gives 3.19 g/cm³.

---

# 10
## CsIBr4 (PBE)

Data for crystalline CsIBr4 at its relaxed geometry.

It has space group Cmcm (No. 63), with a = 12.267 Å, b = 9.550 Å, c = 11.342 Å, α = 90.00°, β = 90.00° and γ = 90.00°. Symmetry generates all atoms from Cs at (0.000, 0.235, 0.250), I at (0.000, 0.352, 0.750), Br at (0.000, 0.102, 0.567) and Br at (0.219, 0.382, 0.750).

For the polymorph energy (0 for the lowest one), the calculation gives 0.425 eV/f.u. The calculation puts the raw total energy at -2.122 eV/atom. The uncorrected formation energy is -606 meV per atom. For the density, the calculation gives 2.90 g/cm³.

---

# 11
## CsIBr (PBE)

Data for crystalline CsIBr at its relaxed geometry.

It has space group Immm (No. 71), with a = 4.799 Å, b = 5.790 Å, c = 22.595 Å, α = 90.00°, β = 90.00° and γ = 90.00°. Symmetry generates all atoms from Cs at (0.000, 0.000, 0.166), I at (0.000, 0.250, 0.500) and Br at (0.000, 0.000, 0.324).

For the polymorph energy (0 for the lowest one), the calculation gives 0.080 eV/f.u. The calculation puts the raw total energy at -2.444 eV/atom. The uncorrected formation energy is -1085 meV per atom. For the density, the calculation gives 3.59 g/cm³.

---

# 12
## Cs8I6Br (PBE)

Data for crystalline Cs8I6Br at its relaxed geometry.

It has space group P-3 (No. 147), with a = 13.4748 Å, b = 13.4748 Å, c = 5.9543 Å, α = 90.00°, β = 90.00° and γ = 120.00°. Symmetry generates all atoms from Cs at (0.0295, 0.7243, 0.2647), Cs at (0.3333, 0.6667, 0.7447), I at (0.1206, 0.4714, 0.2399) and Br at (0.0000, 0.0000, 0.5000).

The calculation puts the raw total energy at -2.548 eV/atom. The uncorrected formation energy is -1362 meV per atom. For the density, the calculation gives 3.38 g/cm³.

---

# 13
## Cs5IBr4 (PBE)

Data for crystalline Cs5IBr4 at its relaxed geometry.

It has space group I4/mmm (No. 139), with a = 5.292 Å, b = 5.292 Å, c = 37.248 Å, α = 90.00°, β = 90.00° and γ = 90.00°. Symmetry generates all atoms from Cs at (0.000, 0.000, 0.000), Cs at (0.000, 0.000, 0.201), Cs at (0.000, 0.000, 0.396), I at (0.000, 0.000, 0.500), Br at (0.000, 0.000, 0.100) and Br at (0.000, 0.000, 0.299).

For the polymorph energy (0 for the lowest one), the calculation gives 0.035 eV/f.u. The calculation puts the raw total energy at -2.984 eV/atom. The uncorrected formation energy is -1733 meV per atom. For the density, the calculation gives 3.54 g/cm³.

---

# 14
## Cs3I2Br8 (PBE)

Data for crystalline Cs3I2Br8 at its relaxed geometry.

It has space group R-3m (No. 166, hexagonal axes), with a = 7.6058 Å, b = 7.6058 Å, c = 34.6355 Å, α = 90.00°, β = 90.00° and γ = 120.00°. Symmetry generates all atoms from Cs at (0.0000, 0.0000, 0.0000), Cs at (0.0000, 0.0000, 0.2031), I at (0.0000, 0.0000, 0.3878), Br at (0.0000, 0.0000, 0.3089) and Br at (0.0380, 0.5190, 0.7714).

The calculation puts the raw total energy at -2.113 eV/atom. The uncorrected formation energy is -648 meV per atom. For the density, the calculation gives 3.71 g/cm³.

---

# 15
## Cs2I2Br5 (PBE)

Data for crystalline Cs2I2Br5 at its relaxed geometry.

It has space group C2/m (No. 12), with a = 21.450 Å, b = 4.974 Å, c = 8.889 Å, α = 90.00°, β = 94.09° and γ = 90.00°. Symmetry generates all atoms from Cs at (0.072, 0.000, 0.275), I at (0.140, 0.500, 0.877), Br at (0.000, 0.500, 0.000), Br at (0.077, 0.500, 0.596) and Br at (0.191, 0.500, 0.162).

For the polymorph energy (0 for the lowest one), the calculation gives 0.000 eV/f.u. The calculation puts the raw total energy at -2.275 eV/atom. The uncorrected formation energy is -812 meV per atom. For the density, the calculation gives 3.23 g/cm³.

---

# 16
## Cs5I4Br (PBE)

Data for crystalline Cs5I4Br at its relaxed geometry.

It has space group Immm (No. 71), with a = 5.445 Å, b = 7.753 Å, c = 27.538 Å, α = 90.00°, β = 90.00° and γ = 90.00°. Symmetry generates all atoms from Cs at (0.000, 0.000, 0.000), Cs at (0.000, 0.000, 0.201), Cs at (0.000, 0.000, 0.407), I at (0.000, 0.500, 0.197), I at (0.000, 0.500, 0.400) and Br at (0.000, 0.500, 0.000).

The calculation puts the raw total energy at -2.809 eV/atom. The uncorrected formation energy is -1595 meV per atom. For the density, the calculation gives 3.58 g/cm³.

---

# 17
## CsI3Br (PBE)

Data for crystalline CsI3Br at its relaxed geometry.

It has space group Pm-3m (No. 221), with a = 6.125 Å, b = 6.125 Å, c = 6.125 Å, α = 90.00°, β = 90.00° and γ = 90.00°. Symmetry generates all atoms from Cs at (0.000, 0.000, 0.000), I at (0.000, 0.500, 0.500) and Br at (0.500, 0.500, 0.500).

For the polymorph energy (0 for the lowest one), the calculation gives 0.233 eV/f.u. The calculation puts the raw total energy at -1.930 eV/atom. The uncorrected formation energy is -495 meV per atom. For the density, the calculation gives 4.29 g/cm³.

---

# 18
## CsI3Br (PBE)

Data for crystalline CsI3Br at its relaxed geometry.

It has space group Pm-3m (No. 221), with a = 7.543 Å, b = 7.543 Å, c = 7.543 Å, α = 90.00°, β = 90.00° and γ = 90.00°. Symmetry generates all atoms from Cs at (0.000, 0.000, 0.000), I at (0.000, 0.000, 0.500) and Br at (0.500, 0.500, 0.500).

For the polymorph energy (0 for the lowest one), the calculation gives 3.232 eV/f.u. The calculation puts the raw total energy at -1.331 eV/atom. The uncorrected formation energy is 105 meV per atom. For the density, the calculation gives 2.30 g/cm³.

---

# 19
## Cs5IBr4 (PBE)

Data for crystalline Cs5IBr4 at its relaxed geometry.

It has space group Immm (No. 71), with a = 5.246 Å, b = 7.473 Å, c = 26.536 Å, α = 90.00°, β = 90.00° and γ = 90.00°. Symmetry generates all atoms from Cs at (0.000, 0.000, 0.000), Cs at (0.000, 0.000, 0.199), Cs at (0.000, 0.000, 0.391), I at (0.000, 0.500, 0.000), Br at (0.000, 0.500, 0.204) and Br at (0.000, 0.500, 0.400).

For the polymorph energy (0 for the lowest one), the calculation gives 0.000 eV/f.u. The calculation puts the raw total energy at -2.987 eV/atom. The uncorrected formation energy is -1736 meV per atom. For the density, the calculation gives 3.55 g/cm³.

---

# 20
## Cs2IBr3 (PBE)

Data for crystalline Cs2IBr3 at its relaxed geometry.

It has space group Fmmm (No. 69), with a = 9.540 Å, b = 10.020 Å, c = 25.148 Å, α = 90.00°, β = 90.00° and γ = 90.00°. Symmetry generates all atoms from Cs at (0.000, 0.224, 0.000), Cs at (0.250, 0.250, 0.250), I at (0.000, 0.000, 0.346), Br at (0.000, 0.000, 0.202) and Br at (0.203, 0.000, 0.445).

For the polymorph energy (0 for the lowest one), the calculation gives 0.922 eV/f.u. The calculation puts the raw total energy at -2.426 eV/atom. The uncorrected formation energy is -1046 meV per atom. For the density, the calculation gives 3.50 g/cm³.